VHgTe2: optimized geometry, PBE-GGA.

## Properties
DOS(E_F) ... 0.691 states/eV/atom
Theoretical density ... 7.833 g/cm3
Energy relative to the elements, uncorrected ... -0.12 eV/f.u.

a b c (Å): 7.1341 5.1335 11.7330
angles (deg): 90.00 90.00 90.00
Last column: nearest neighbours and their distance in Å.
Atoms (fractional coordinates):
V1 0.0084 0.2500 0.0994  5 Te 2.70-2.82
V2 0.4916 0.7500 0.5994  5 Te 2.70-2.82
V3 0.5084 0.2500 0.4006  5 Te 2.70-2.82
V4 0.9916 0.7500 0.9006  5 Te 2.70-2.82
Hg1 0.1485 0.2500 0.5451  3 Te 2.99-3.23, 1 V 3.08
Hg2 0.3515 0.7500 0.0451  3 Te 2.99-3.23, 1 V 3.08
Hg3 0.6485 0.2500 0.9549  3 Te 2.99-3.23, 1 V 3.08
Hg4 0.8515 0.7500 0.4549  3 Te 2.99-3.23, 1 V 3.08
Te1 0.1247 0.7500 0.6742  2 V 2.76-2.82, 2 Hg 2.99
Te2 0.1389 0.2500 0.8837  3 V 2.70-2.78
Te3 0.3611 0.7500 0.3837  3 V 2.70-2.78
Te4 0.3753 0.2500 0.1742  2 V 2.76-2.82, 2 Hg 2.99
Te5 0.6247 0.7500 0.8258  2 V 2.76-2.82, 2 Hg 2.99
Te6 0.6389 0.2500 0.6163  3 V 2.70-2.78
Te7 0.8611 0.7500 0.1163  3 V 2.70-2.78
Te8 0.8753 0.2500 0.3258  2 V 2.76-2.82, 2 Hg 2.99